The following is a GGA-PBE calculation of a relaxed structure of CaLaBiTe, from the Alexandria database.

The calculation puts the density of states at the Fermi level at 0.08 states/eV per cell. The crystal system is trigonal.

The space group is R3m (No. 160, hexagonal axes) and the conventional cell measures 4.6612, 4.6612 and 22.4710 Å, with angles of 90.00, 90.00 and 120.00 degrees. The distinct sites, in fractional coordinates, are Ca at (0.0000, 0.0000, 0.0000), La at (0.0000, 0.0000, 0.4954), Bi at (0.0000, 0.0000, 0.7478) and Te at (0.0000, 0.0000, 0.2494).



The following is a GGA-PBE calculation of a relaxed structure of CaLa2ThBi4, from the Alexandria database.

The calculation puts the density of states at the Fermi level at 1.25 states/eV per cell. The crystal system is monoclinic.

The space group is P2/m (No. 10) and the conventional cell measures 8.062, 4.676 and 8.065 Å, with angles of 90.00, 109.36 and 90.00 degrees. The distinct sites, in fractional coordinates, are Ca at (0.000, 0.000, 0.000), La at (0.000, 0.500, 0.500), La at (0.500, 0.000, 0.500), Th at (0.500, 0.500, 0.000), Bi at (0.252, 0.500, 0.245) and Bi at (0.253, 0.000, 0.756).



The following is a GGA-PBE calculation of a relaxed structure of Ca3LaTh2Bi6, from the Alexandria database.

The calculation puts the density of states at the Fermi level at 14.06 states/eV per cell. The crystal system is monoclinic.

The space group is C2/m (No. 12) and the conventional cell measures 8.103, 14.025 and 7.931 Å, with angles of 90.00, 109.89 and 90.00 degrees. The distinct sites, in fractional coordinates, are Ca at (0.000, 0.000, 0.000), Ca at (0.000, 0.336, 0.000), La at (0.000, 0.500, 0.500), Th at (0.000, 0.167, 0.500), Bi at (0.244, 0.000, 0.747) and Bi at (0.248, 0.169, 0.252).



The following is a GGA-PBE calculation of a relaxed structure of CaLaTlBi, from the Alexandria database.

The calculation puts the density of states at the Fermi level at 13.90 states/eV per cell. The crystal system is cubic.

The space group is F-43m (No. 216) and the conventional cell measures 7.960, 7.960 and 7.960 Å, with angles of 90.00, 90.00 and 90.00 degrees. The distinct sites, in fractional coordinates, are Ca at (0.000, 0.000, 0.000), La at (0.000, 0.000, 0.500), Tl at (0.250, 0.250, 0.250) and Bi at (0.250, 0.250, 0.750).



The following is a GGA-PBE calculation of a relaxed structure of CaLa2TmBi4, from the Alexandria database.

The calculation puts the density of states at the Fermi level at 4.98 states/eV per cell. The crystal system is monoclinic.

The space group is P2/m (No. 10) and the conventional cell measures 7.860, 4.645 and 8.101 Å, with angles of 90.00, 109.78 and 90.00 degrees. The distinct sites, in fractional coordinates, are Ca at (0.000, 0.000, 0.000), La at (0.500, 0.000, 0.500), La at (0.500, 0.500, 0.000), Tm at (0.000, 0.500, 0.500), Bi at (0.237, 0.000, 0.740) and Bi at (0.241, 0.500, 0.253).



The following is a GGA-PBE calculation of a relaxed structure of CaLa2YBi4, from the Alexandria database.

The calculation puts the density of states at the Fermi level at 5.08 states/eV per cell. The crystal system is monoclinic.

The space group is P2/m (No. 10) and the conventional cell measures 7.904, 4.654 and 8.110 Å, with angles of 90.00, 109.75 and 90.00 degrees. The distinct sites, in fractional coordinates, are Ca at (0.000, 0.000, 0.000), La at (0.500, 0.000, 0.500), La at (0.500, 0.500, 0.000), Y at (0.000, 0.500, 0.500), Bi at (0.240, 0.000, 0.743) and Bi at (0.243, 0.500, 0.252).



The following is a GGA-PBE calculation of a relaxed structure of CaLaZnBi, from the Alexandria database.

The calculation puts the density of states at the Fermi level at 15.74 states/eV per cell. The crystal system is cubic.

The space group is F-43m (No. 216) and the conventional cell measures 7.750, 7.750 and 7.750 Å, with angles of 90.00, 90.00 and 90.00 degrees. The distinct sites, in fractional coordinates, are Ca at (0.000, 0.000, 0.000), La at (0.000, 0.000, 0.500), Zn at (0.250, 0.250, 0.250) and Bi at (0.250, 0.250, 0.750).



The following is a GGA-PBE calculation of a relaxed structure of Li4CaBi2, from the Alexandria database.

The crystal system is trigonal.

The space group is R-3m (No. 166, hexagonal axes) and the conventional cell measures 4.7949, 4.7949 and 24.7694 Å, with angles of 90.00, 90.00 and 120.00 degrees. The distinct sites, in fractional coordinates, are Li at (0.0000, 0.0000, 0.0761), Li at (0.0000, 0.0000, 0.3640), Ca at (0.0000, 0.0000, 0.5000) and Bi at (0.0000, 0.0000, 0.2466).



The following is a GGA-PBE calculation of a relaxed structure of Li2Ca2Bi, from the Alexandria database.

The calculation puts the density of states at the Fermi level at 8.25 states/eV per cell. The crystal system is tetragonal. As for the polymorph energy (0 for the lowest one): 0.0 meV/atom.

The space group is P4/mbm (No. 127) and the conventional cell measures 7.493, 7.493 and 4.889 Å, with angles of 90.00, 90.00 and 90.00 degrees. The distinct sites, in fractional coordinates, are Li at (0.129, 0.371, 0.000), Ca at (0.184, 0.684, 0.500) and Bi at (0.000, 0.000, 0.000).



The following is a GGA-PBE calculation of a relaxed structure of Li2Ca5Bi5, from the Alexandria database.

The calculation puts the density of states at the Fermi level at 7.19 states/eV per cell. The crystal system is monoclinic.

The space group is C2/m (No. 12) and the conventional cell measures 16.700, 4.687 and 11.869 Å, with angles of 90.00, 129.92 and 90.00 degrees. The distinct sites, in fractional coordinates, are Li at (0.139, 0.000, 0.228), Ca at (0.000, 0.500, 0.000), Ca at (0.106, 0.500, 0.416), Ca at (0.187, 0.500, 0.820), Bi at (0.000, 0.000, 0.500), Bi at (0.065, 0.000, 0.868) and Bi at (0.249, 0.000, 0.681).



The following is a GGA-PBE calculation of a relaxed structure of LiCa3Bi2, from the Alexandria database.

The calculation puts the density of states at the Fermi level at 15.02 states/eV per cell. The crystal system is orthorhombic.

The space group is Ibam (No. 72) and the conventional cell measures 6.644, 16.753 and 6.703 Å, with angles of 90.00, 90.00 and 90.00 degrees. The distinct sites, in fractional coordinates, are Li at (0.000, 0.000, 0.250), Ca at (0.000, 0.500, 0.250), Ca at (0.242, 0.177, 0.000) and Bi at (0.242, 0.128, 0.500).



The following is a GGA-PBE calculation of a relaxed structure of LiCaBi2, from the Alexandria database.

The calculation puts the density of states at the Fermi level at 0.69 states/eV per cell. The crystal system is tetragonal.

The space group is P4/mmm (No. 123) and the conventional cell measures 3.555, 3.555 and 8.849 Å, with angles of 90.00, 90.00 and 90.00 degrees. The distinct sites, in fractional coordinates, are Li at (0.000, 0.000, 0.000), Ca at (0.000, 0.000, 0.500) and Bi at (0.500, 0.500, 0.234).



no.,energy (eV/atom),size of the total moment (μB per cell)
1,-4.780,0.00
2,-5.239,0.00
3,-4.862,0.00
4,-3.848,0.00
5,-4.847,0.00
6,-5.127,0.00
7,-3.523,0.00
8,-3.119,0.00
9,-2.689,0.44
10,-3.498,0.00
11,-3.287,4.00
12,-3.450,0.00